CaMn4O8 | PBE+U | relaxed

The space group is P-1 (No. 2) and the conventional cell measures 5.838, 5.887 and 5.969 Å, with angles of 89.43, 62.42 and 73.90 degrees. The inequivalent atoms are Ca at (0.000, 0.000, 0.000), Mn at (0.001, 0.498, 0.747), Mn at (0.490, 0.525, 0.255), O at (0.214, 0.313, 0.905), O at (0.221, 0.333, 0.399), O at (0.246, 0.690, 0.134) and O at (0.253, 0.681, 0.652).

The spin magnetization is 14.00 μB/f.u. As for the density: 3.7 g/cm³. Its energy above the most stable polymorph in this dataset is 9.3 meV/atom. The calculation puts the total energy at -7.233 eV per atom.